1.
This record from the Alexandria database describes a geometry-optimized BaSrFe4 structure. The functional is GGA-PBE.

Properties
Final energy, eV per atom: -5.66
Total magnetization, μB/f.u.: 9.6

Cell lengths 5.548, 5.548, 5.548 Å; angles 60.00, 60.00, 60.00 degrees
Sites, in units of the cell vectors:
Ba 0.000 0.000 0.000
Sr 0.750 0.750 0.750
Fe 0.837 0.388 0.388
Fe 0.388 0.388 0.837
Fe 0.388 0.837 0.388
Fe 0.388 0.388 0.388



2.
This record from the Alexandria database describes a geometry-optimized Hf2NbN structure. The functional is GGA-PBE.

Properties
Energy relative to the elements, uncorrected, meV per atom: -227
Total magnetization, μB/f.u.: 0.0

Cell lengths 2.873, 2.873, 7.667 Å; angles 90.00, 90.00, 90.00 degrees
Sites, in units of the cell vectors:
Nb 0.500 0.500 0.500
Hf 0.000 0.000 0.818
Hf 0.000 0.000 0.182
N 0.500 0.500 0.000



3.
This record from the Alexandria database describes a geometry-optimized KLi2NbAg structure. The functional is GGA-PBE.

Properties
Final energy, eV per atom: -2.64
Total magnetization, μB/f.u.: 4.2

Cell lengths 5.464, 5.436, 5.464 Å; angles 90.00, 90.00, 90.00 degrees
Sites, in units of the cell vectors:
Nb 0.000 0.000 0.000
K 0.500 0.500 0.500
Ag 0.000 0.500 0.000
Li 0.000 0.000 0.500
Li 0.500 0.000 0.000



4.
This record from the Alexandria database describes a geometry-optimized P3W structure. The functional is GGA-PBE.

Properties
Final energy, eV per atom: -7.02
Total magnetization, μB/f.u.: 0.0

Cell lengths 4.810, 3.523, 3.526 Å; angles 87.29, 90.00, 90.00 degrees
Sites, in units of the cell vectors:
P 0.000 0.033 0.034
P 0.500 0.750 0.750
P 0.000 0.467 0.466
W 0.500 0.250 0.250



5.
This record from the Alexandria database describes a geometry-optimized SrInRh3 structure. The functional is GGA-PBE.

Properties
Final energy, eV per atom: -4.78
Total magnetization, μB/f.u.: 1.3

Cell lengths 4.962, 4.962, 4.962 Å; angles 90.00, 90.00, 90.00 degrees
Sites, in units of the cell vectors:
Sr 0.500 0.500 0.500
Rh 0.000 0.500 0.000
Rh 0.000 0.000 0.500
Rh 0.500 0.000 0.000
In 0.000 0.000 0.000



6.
This record from the Alexandria database describes a geometry-optimized Zn2TeW structure. The functional is GGA-PBE.

Properties
Energy relative to the elements, uncorrected, meV per atom: 467
Total magnetization, μB/f.u.: 0.0

Cell lengths 4.374, 2.884, 6.251 Å; angles 78.72, 90.00, 90.00 degrees
Sites, in units of the cell vectors:
Te 0.000 0.844 0.517
W 0.500 0.627 0.825
Zn 0.000 0.070 0.960
Zn 0.500 0.960 0.198



Please write out number 3 again, unchanged.
This record from the Alexandria database describes a geometry-optimized KLi2NbAg structure. The functional is GGA-PBE.

Properties
Final energy, eV per atom: -2.64
Total magnetization, μB/f.u.: 4.2

Cell lengths 5.464, 5.436, 5.464 Å; angles 90.00, 90.00, 90.00 degrees
Sites, in units of the cell vectors:
Nb 0.000 0.000 0.000
K 0.500 0.500 0.500
Ag 0.000 0.500 0.000
Li 0.000 0.000 0.500
Li 0.500 0.000 0.000